Here is a relaxed Ac4Tl2Sn crystal from Alexandria. Energies are from PBE.

Results
ρ = 8.765 g/cm3
ΔH_f (0 K) = -0.30 eV per atom
D(E_F) = 1.42 states/eV per atom

```
data_Ac4Tl2Sn
_cell_length_a 5.7829
_cell_length_b 5.7829
_cell_length_c 28.1707
_cell_angle_alpha 90.00
_cell_angle_beta 90.00
_cell_angle_gamma 120.00
_space_group_name_H-M_alt 'R -3 m'
_space_group_IT_number 166
_space_group_name_Hall '-R 3 2"'
loop_
_atom_site_label
_atom_site_fract_x
_atom_site_fract_y
_atom_site_fract_z
Ac1 0.0000 0.0000 0.1233
Ac2 0.0000 0.0000 0.3759
Tl1 0.0000 0.0000 0.2443
Sn1 0.0000 0.0000 0.0000
```

Here is a relaxed Ac4TlSn4 crystal from Alexandria. Energies are from PBE.

Results
ρ = 7.677 g/cm3
ΔH_f (0 K) = -0.51 eV per atom
D(E_F) = 0.65 states/eV per atom

```
data_Ac4TlSn4
_cell_length_a 9.851
_cell_length_b 9.851
_cell_length_c 7.076
_cell_angle_alpha 90.00
_cell_angle_beta 90.00
_cell_angle_gamma 90.00
_space_group_name_H-M_alt 'P 42/n'
_space_group_IT_number 86
loop_
_space_group_symop_operation_xyz
'x,y,z'
'-x,-y,-z'
'-y,x+1/2,z+1/2'
'y,-x+1/2,-z+1/2'
'-x+1/2,-y+1/2,z'
'x+1/2,y+1/2,-z'
'y+1/2,-x,z+1/2'
'-y+1/2,x,-z+1/2'
loop_
_atom_site_label
_atom_site_fract_x
_atom_site_fract_y
_atom_site_fract_z
Ac1 0.013 0.751 0.042
Tl1 0.250 0.250 0.250
Sn1 0.000 0.249 0.481
```

Here is a relaxed Ac2Tl2Sn crystal from Alexandria. Energies are from PBE.

Results
ρ = 9.457 g/cm3
Polymorph energy (0 for the lowest one) = 0 meV per atom
ΔH_f (0 K) = -0.43 eV per atom
D(E_F) = 0.37 states/eV per atom

```
data_Ac2Tl2Sn
_cell_length_a 12.637
_cell_length_b 5.057
_cell_length_c 12.450
_cell_angle_alpha 90.00
_cell_angle_beta 119.95
_cell_angle_gamma 90.00
_space_group_name_H-M_alt 'C 1 2/m 1'
_space_group_IT_number 12
loop_
_space_group_symop_operation_xyz
'x,y,z'
'-x,-y,-z'
'-x,y,-z'
'x,-y,z'
'x+1/2,y+1/2,z'
'-x+1/2,-y+1/2,-z'
'-x+1/2,y+1/2,-z'
'x+1/2,-y+1/2,z'
loop_
_atom_site_label
_atom_site_fract_x
_atom_site_fract_y
_atom_site_fract_z
Ac1 0.097 0.000 0.412
Ac2 0.211 0.500 0.161
Tl1 0.093 0.000 0.956
Tl2 0.135 0.500 0.617
Sn1 0.037 0.500 0.797
```

Here is a relaxed Ac4TlSn2 crystal from Alexandria. Energies are from PBE.

Results
ρ = 8.493 g/cm3
ΔH_f (0 K) = -0.41 eV per atom
D(E_F) = 0.98 states/eV per atom

```
data_Ac4TlSn2
_cell_length_a 6.611
_cell_length_b 7.398
_cell_length_c 11.154
_cell_angle_alpha 90.00
_cell_angle_beta 104.62
_cell_angle_gamma 90.00
_space_group_name_H-M_alt 'P 1 21/m 1'
_space_group_IT_number 11
loop_
_space_group_symop_operation_xyz
'x,y,z'
'-x,-y,-z'
'-x,y+1/2,-z'
'x,-y+1/2,z'
loop_
_atom_site_label
_atom_site_fract_x
_atom_site_fract_y
_atom_site_fract_z
Ac1 0.005 0.015 0.254
Ac2 0.352 0.750 0.530
Ac3 0.443 0.750 0.133
Tl1 0.482 0.750 0.829
Sn1 0.102 0.250 0.000
Sn2 0.199 0.250 0.548
```

- Which formula does entry 1 have?
  Ac4Tl2Sn

- Number 3 is which compound?
  Ac2Tl2Sn